# 1
Ce6In2O: relaxed, PBE.

Values from the calculation:
* symmetry: Fm-3m
* ΔE_f (raw): -0.7476 eV/atom
* density of states at the Fermi level: 2.3059 states/eV per atom
* energy: -5.863 eV/atom

Lattice parameters (Å, degrees): 6.906 6.906 6.906 60.00 60.00 60.00
Positions (direct):
Ce1 0.249 0.249 0.751
Ce2 0.249 0.751 0.249
Ce3 0.249 0.751 0.751
Ce4 0.751 0.249 0.249
Ce5 0.751 0.249 0.751
Ce6 0.751 0.751 0.249
In1 0.250 0.250 0.250
In2 0.750 0.750 0.750
O1 0.500 0.500 0.500



# 2
CeInO4: relaxed, PBE.

Values from the calculation:
* symmetry: P4/mmm
* ΔE_f (raw): -1.7892 eV/atom
* density of states at the Fermi level: 0.3036 states/eV per atom
* energy: -6.540 eV/atom

Lattice parameters (Å, degrees): 3.663 3.663 5.941 90.00 90.00 90.00
Positions (direct):
Ce1 0.000 0.000 0.000
In1 0.000 0.000 0.500
O1 0.000 0.500 0.251
O2 0.000 0.500 0.749
O3 0.500 0.000 0.251
O4 0.500 0.000 0.749



# 3
CeInPb2O6: relaxed, PBE.

Values from the calculation:
* symmetry: P2_1/c
* ΔE_f (raw): -1.7601 eV/atom
* density of states at the Fermi level: 0.6884 states/eV per atom
* energy: -6.344 eV/atom

Lattice parameters (Å, degrees): 5.868 6.122 10.347 90.00 124.34 90.00
Positions (direct):
Ce1 0.000 0.000 0.000
Ce2 0.000 0.500 0.500
In1 0.500 0.000 0.500
In2 0.500 0.500 0.000
Pb1 0.241 0.042 0.750
Pb2 0.241 0.458 0.250
Pb3 0.759 0.542 0.750
Pb4 0.759 0.958 0.250
O1 0.130 0.191 0.440
O2 0.130 0.309 0.940
O3 0.261 0.693 0.444
O4 0.261 0.807 0.944
O5 0.376 0.050 0.255
O6 0.376 0.450 0.755
O7 0.624 0.550 0.245
O8 0.624 0.950 0.745
O9 0.739 0.193 0.056
O10 0.739 0.307 0.556
O11 0.870 0.691 0.060
O12 0.870 0.809 0.560



# 4
CePm2InO: relaxed, PBE.

Values from the calculation:
* symmetry: P4/mmm
* ΔE_f (raw): -1.3652 eV/atom
* density of states at the Fermi level: 1.4908 states/eV per atom
* energy: -5.992 eV/atom

Lattice parameters (Å, degrees): 4.973 4.973 4.869 90.00 90.00 90.00
Positions (direct):
Ce1 0.000 0.000 0.000
Pm1 0.000 0.500 0.500
Pm2 0.500 0.000 0.500
In1 0.500 0.500 0.000
O1 0.000 0.000 0.500